DFT (PBE) results for an optimized crystal structure of TiHgI2.

Formation energy from raw total energies (meV per atom): -459
Volume (Å³/atom): 37.26
Polymorph energy (0 for the lowest one) (eV/atom): 0.000
Uncorrected energy (eV/cell): -13.13
M_tot (μB/cell): 2.0
Symmetry: R-3m

Cell: 10.8946 10.8946 10.8946 Å, 21.27 21.27 21.27°
Element x y z (fractional)
Ti: 0.0000 0.0000 0.0000
Hg: 0.5000 0.5000 0.5000
I: 0.2796 0.2796 0.2796
I: 0.7204 0.7204 0.7204